Crystalline TlGa2Cu at its relaxed geometry. Source: Alexandria via LeMat-Bulk, functional PBE.

Calculated values
Energy of formation from the pure elements in eV/atom: 0.286
Space group: Fm-3m

Cell lengths 4.867, 4.867, 4.867 Å; angles 60.00, 60.00, 60.00 degrees
Fractional coordinates of all 4 atoms:
Tl (0.500, 0.500, 0.500)
Cu (0.000, 0.000, 0.000)
Ga (0.250, 0.250, 0.250)
Ga (0.750, 0.750, 0.750)